No. 1
A relaxed HoPaCo2P2 crystal. Source: the Alexandria database, functional PBE.

Values from the calculation:
ΔH_f (0 K)   -1.138 eV per atom
V   99.1 Å³/f.u.
Density   9.65 Mg/m³

The structure in POSCAR format:
```
HoPaCo2P2
1.0
-2.780 2.221 -1.526
-0.558 -1.720 3.423
2.927 6.096 3.540
Ho Pa Co P
1 1 2 2
direct
0.000 0.000 0.500 Ho
0.000 0.000 0.000 Pa
0.667 0.333 0.220 Co
0.333 0.667 0.780 Co
0.667 0.333 0.736 P
0.333 0.667 0.264 P
```

No. 2
A relaxed Ho2Co4P3Ru crystal. Source: the Alexandria database, functional PBE.

Values from the calculation:
ΔH_f (0 K)   -0.805 eV per atom
V   142.2 Å³/f.u.
Density   8.87 Mg/m³

The structure in POSCAR format:
```
Ho2Co4P3Ru
1.0
-3.163 1.137 1.938
-1.061 -3.706 0.442
4.821 -0.414 8.111
Ho Co P Ru
2 4 3 1
direct
0.500 0.000 0.241 Ho
0.000 0.500 0.759 Ho
0.500 0.500 0.000 Co
0.000 0.000 0.000 Co
0.500 0.000 0.633 Co
0.000 0.500 0.367 Co
0.000 0.000 0.500 P
0.500 0.000 0.871 P
0.000 0.500 0.129 P
0.500 0.500 0.500 Ru
```

No. 3
A relaxed HoCoTcP2 crystal. Source: the Alexandria database, functional PBE.

Values from the calculation:
ΔH_f (0 K)   -0.951 eV per atom
V   75.1 Å³/f.u.
Density   8.48 Mg/m³

The structure in POSCAR format:
```
HoCoTcP2
1.0
3.943 0.000 0.000
0.000 3.943 0.000
-1.972 -1.972 4.832
Ho Co Tc P
1 1 1 2
direct
0.000 0.000 0.000 Ho
0.250 0.750 0.500 Co
0.750 0.250 0.500 Tc
0.626 0.626 0.253 P
0.374 0.374 0.747 P
```

| no. | total energy (eV/atom) |
| --- | --- |
| 1 | -7.6551 |
| 2 | -7.1136 |
| 3 | -7.5246 |